VASP calculation (PBE) on an optimized crystal structure of CoBOs.

abc: 3.7026 3.7026 3.7026
angles: 60.00 60.00 60.00
Last column: nearest neighbours and their distance in Å.
Element x y z (fractional)
B1 0.2500 0.2500 0.2500  4 Co 2.27
Co1 0.0000 0.0000 0.0000  4 Os 2.27, 4 B 2.27
Os1 0.7500 0.7500 0.7500  4 Co 2.27

Computed properties:
The calculation puts the total energy at -22.72 eV for the cell shown. As for the space-group type: F-43m (216).